DFT (PBE-GGA) results for Tl2PtCl6 after structural relaxation. Values from VASP.

Calculated values
The calculation puts the formation energy without anion corrections at -0.7784 eV/atom. For the final energy, the calculation gives -3.2065 eV/atom. The total magnetic moment is 0.00 μB per formula unit. Its density of states at the Fermi level is 0.000 states/eV per atom.

Quantum ESPRESSO input file:
```
&SYSTEM
  ibrav = 0, nat = 9, ntyp = 3
/
ATOMIC_SPECIES
Tl 204.38 Tl.upf
Pt 195.08 Pt.upf
Cl 35.45 Cl.upf
ATOMIC_POSITIONS crystal
Tl 0.250 0.250 0.250
Tl 0.750 0.750 0.750
Pt 0.000 0.000 0.000
Cl 0.234 0.234 0.766
Cl 0.234 0.766 0.234
Cl 0.234 0.766 0.766
Cl 0.766 0.234 0.234
Cl 0.766 0.234 0.766
Cl 0.766 0.766 0.234
CELL_PARAMETERS angstrom
0.000 5.014 5.014
5.014 0.000 5.014
5.014 5.014 0.000
```